Material: BeFeNi2
Method: DFT, PBE
State: relaxed

Output
Total DFT energy (no corrections), eV per atom: -5.6662
E_form, meV/atom: 272

```
data_BeFeNi2
_space_group_name_H-M_alt 'I -4 2 d'
_space_group_IT_number 122
_space_group_name_Hall 'I -4 2bw'
_cell_length_a 3.362
_cell_length_b 3.362
_cell_length_c 15.894
_cell_angle_alpha 90.00
_cell_angle_beta 90.00
_cell_angle_gamma 90.00
loop_
_atom_site_label
_atom_site_type_symbol
_atom_site_fract_x
_atom_site_fract_y
_atom_site_fract_z
_atom_site_occupancy
Be1 Be 0.000 0.000 0.000 1
Fe1 Fe 0.000 0.000 0.500 1
Ni1 Ni 0.235 0.250 0.125 1
```